The following is a PBE calculation of a relaxed BaCd2Ru crystal, from Alexandria via LeMat-Bulk.

a = 11.0842 Å, b = 3.6998 Å, c = 5.5293 Å
α = 90.00°, β = 111.10°, γ = 90.00°
With the nearest neighbours (Å) after each atom.
Space group C2/m (No. 12)
Inequivalent atoms, fractional coordinates:
Ba  0.0000  0.0000  0.0000  4 Ru 3.33, 8 Cd 3.41-3.68, 2 Ba 3.70
Cd  0.2000  0.0000  0.6543  2 Ru 2.78, 2 Cd 2.99
Ru  0.0000  0.5000  0.5000  4 Cd 2.78

Computed properties:
- formation energy (eV/atom) = 0.243
- total magnetic moment (μB/f.u.) = 0.00

=====

The following is a PBE calculation of a relaxed BaCdRu crystal, from Alexandria via LeMat-Bulk.

a = 7.5014 Å, b = 7.5014 Å, c = 7.5014 Å
α = 90.00°, β = 90.00°, γ = 90.00°
With the nearest neighbours (Å) after each atom.
Space group F-43m (No. 216)
Inequivalent atoms, fractional coordinates:
Ba  0.0000  0.0000  0.0000  4 Cd 3.25, 4 Ru 3.25
Cd  0.2500  0.2500  0.7500  4 Ba 3.25
Ru  0.2500  0.2500  0.2500  4 Ba 3.25

Computed properties:
- formation energy (eV/atom) = 1.255
- total magnetic moment (μB/f.u.) = 2.00

=====

> Among the records above, which one has the lowest formation energy?

BaCd2Ru

=====

What did the first record say?
The following is a PBE calculation of a relaxed BaCd2Ru crystal, from Alexandria via LeMat-Bulk.

a = 11.0842 Å, b = 3.6998 Å, c = 5.5293 Å
α = 90.00°, β = 111.10°, γ = 90.00°
With the nearest neighbours (Å) after each atom.
Space group C2/m (No. 12)
Inequivalent atoms, fractional coordinates:
Ba  0.0000  0.0000  0.0000  4 Ru 3.33, 8 Cd 3.41-3.68, 2 Ba 3.70
Cd  0.2000  0.0000  0.6543  2 Ru 2.78, 2 Cd 2.99
Ru  0.0000  0.5000  0.5000  4 Cd 2.78

Computed properties:
- formation energy (eV/atom) = 0.243
- total magnetic moment (μB/f.u.) = 0.00

=====

Copy entry 2 word for word.
The following is a PBE calculation of a relaxed BaCdRu crystal, from Alexandria via LeMat-Bulk.

a = 7.5014 Å, b = 7.5014 Å, c = 7.5014 Å
α = 90.00°, β = 90.00°, γ = 90.00°
With the nearest neighbours (Å) after each atom.
Space group F-43m (No. 216)
Inequivalent atoms, fractional coordinates:
Ba  0.0000  0.0000  0.0000  4 Cd 3.25, 4 Ru 3.25
Cd  0.2500  0.2500  0.7500  4 Ba 3.25
Ru  0.2500  0.2500  0.2500  4 Ba 3.25

Computed properties:
- formation energy (eV/atom) = 1.255
- total magnetic moment (μB/f.u.) = 2.00